[1]
SmPS | PBE | relaxed

Lattice parameters (Å, degrees): 7.149 3.723 9.389 90.00 90.00 90.00
Positions (direct):
Sm 0.204 0.250 0.159
Sm 0.296 0.750 0.659
Sm 0.704 0.250 0.341
Sm 0.796 0.750 0.841
P 0.086 0.250 0.462
P 0.414 0.750 0.962
P 0.586 0.250 0.038
P 0.914 0.750 0.538
S 0.095 0.250 0.845
S 0.405 0.750 0.345
S 0.595 0.250 0.655
S 0.905 0.750 0.155

final energy	-18.77	eV/f.u.
E_form (uncorrected)	-1504	meV/atom
total magnetization	0.000	Bohr magnetons per cell
calculated volume	20.824	A^3/atom

---

[2]
SmPS | PBE | relaxed

Lattice parameters (Å, degrees): 5.495 5.445 17.042 90.00 90.00 90.00
Positions (direct):
Sm 0.015 0.250 0.147
Sm 0.016 0.750 0.362
Sm 0.484 0.250 0.862
Sm 0.485 0.750 0.647
Sm 0.515 0.250 0.353
Sm 0.516 0.750 0.138
Sm 0.984 0.250 0.638
Sm 0.985 0.750 0.853
P 0.201 0.541 0.997
P 0.201 0.959 0.997
P 0.299 0.041 0.497
P 0.299 0.459 0.497
P 0.701 0.541 0.503
P 0.701 0.959 0.503
P 0.799 0.041 0.003
P 0.799 0.459 0.003
S 0.012 0.250 0.317
S 0.015 0.750 0.189
S 0.485 0.250 0.689
S 0.488 0.750 0.817
S 0.512 0.250 0.183
S 0.515 0.750 0.311
S 0.985 0.250 0.811
S 0.988 0.750 0.683

final energy	-18.96	eV/f.u.
E_form (uncorrected)	-1567	meV/atom
total magnetization	0.000	Bohr magnetons per cell
calculated volume	21.245	A^3/atom

---

[3]
Sm6SnP2S3 | PBE | relaxed

Lattice parameters (Å, degrees): 9.236 9.236 8.301 102.64 102.64 25.73
Positions (direct):
Sm 0.002 0.002 0.267
Sm 0.327 0.327 0.906
Sm 0.330 0.330 0.421
Sm 0.670 0.670 0.579
Sm 0.673 0.673 0.094
Sm 0.998 0.998 0.733
Sn 0.500 0.500 0.000
P 0.168 0.168 0.336
P 0.832 0.832 0.664
S 0.166 0.166 0.832
S 0.500 0.500 0.500
S 0.834 0.834 0.168

final energy	-75.39	eV/f.u.
E_form (uncorrected)	-1656	meV/atom
total magnetization	0.000	Bohr magnetons per cell
calculated volume	24.961	A^3/atom

---

[4]
Sm6SnP3S2 | PBE | relaxed

Lattice parameters (Å, degrees): 9.276 9.276 8.361 103.04 103.04 25.56
Positions (direct):
Sm 0.000 0.000 0.232
Sm 0.000 0.000 0.768
Sm 0.327 0.327 0.417
Sm 0.335 0.335 0.911
Sm 0.665 0.665 0.089
Sm 0.673 0.673 0.583
Sn 0.500 0.500 0.500
P 0.166 0.166 0.331
P 0.500 0.500 0.000
P 0.834 0.834 0.669
S 0.170 0.170 0.839
S 0.830 0.830 0.161

final energy	-75.85	eV/f.u.
E_form (uncorrected)	-1588	meV/atom
total magnetization	0.000	Bohr magnetons per cell
calculated volume	25.164	A^3/atom

---

[5]
Sm4SnPS2 | PBE | relaxed

Lattice parameters (Å, degrees): 7.200 4.147 7.263 90.00 109.47 90.00
Positions (direct):
Sm 0.239 0.000 0.234
Sm 0.250 0.500 0.761
Sm 0.750 0.500 0.239
Sm 0.761 0.000 0.766
Sn 0.500 0.500 0.500
P 0.500 0.000 0.000
S 0.000 0.000 0.500
S 0.000 0.500 0.000

final energy	-49.01	eV/f.u.
E_form (uncorrected)	-1558	meV/atom
total magnetization	0.000	Bohr magnetons per cell
calculated volume	25.554	A^3/atom

---

[6]
Sm6Te3P2S | PBE | relaxed

Lattice parameters (Å, degrees): 9.634 9.634 8.668 105.71 105.71 25.13
Positions (direct):
Sm 0.010 0.010 0.229
Sm 0.324 0.324 0.438
Sm 0.340 0.340 0.893
Sm 0.660 0.660 0.107
Sm 0.676 0.676 0.562
Sm 0.990 0.990 0.771
Te 0.166 0.166 0.833
Te 0.500 0.500 0.500
Te 0.834 0.834 0.167
P 0.166 0.166 0.332
P 0.834 0.834 0.668
S 0.500 0.500 0.000

final energy	-72.25	eV/f.u.
E_form (uncorrected)	-1630	meV/atom
total magnetization	0.000	Bohr magnetons per cell
calculated volume	27.358	A^3/atom

---

[7]
Sm4Te2PS | PBE | relaxed

Lattice parameters (Å, degrees): 7.233 4.184 7.590 90.00 108.58 90.00
Positions (direct):
Sm 0.233 0.000 0.209
Sm 0.261 0.500 0.791
Sm 0.739 0.500 0.209
Sm 0.767 0.000 0.791
Te 0.000 0.000 0.500
Te 0.500 0.500 0.500
P 0.000 0.500 0.000
S 0.500 0.000 0.000

final energy	-47.97	eV/f.u.
E_form (uncorrected)	-1659	meV/atom
total magnetization	0.000	Bohr magnetons per cell
calculated volume	27.215	A^3/atom

---

[8]
Sm8Te3P3S | PBE | relaxed

Lattice parameters (Å, degrees): 8.617 8.617 8.617 57.66 57.66 57.66
Positions (direct):
Sm 0.234 0.740 0.740
Sm 0.237 0.237 0.237
Sm 0.260 0.260 0.766
Sm 0.260 0.766 0.260
Sm 0.740 0.234 0.740
Sm 0.740 0.740 0.234
Sm 0.763 0.763 0.763
Sm 0.766 0.260 0.260
Te 0.000 0.500 0.500
Te 0.500 0.000 0.500
Te 0.500 0.500 0.000
P 0.000 0.000 0.500
P 0.000 0.500 0.000
P 0.500 0.000 0.000
S 0.500 0.500 0.500

final energy	-89.86	eV/f.u.
E_form (uncorrected)	-1488	meV/atom
total magnetization	0.001	Bohr magnetons per cell
calculated volume	28.543	A^3/atom

---

[9]
Sm8Te3PS3 | PBE | relaxed

Lattice parameters (Å, degrees): 8.543 8.543 8.543 57.98 57.98 57.98
Positions (direct):
Sm 0.235 0.235 0.235
Sm 0.239 0.737 0.737
Sm 0.263 0.263 0.761
Sm 0.263 0.761 0.263
Sm 0.737 0.239 0.737
Sm 0.737 0.737 0.239
Sm 0.761 0.263 0.263
Sm 0.765 0.765 0.765
Te 0.000 0.500 0.500
Te 0.500 0.000 0.500
Te 0.500 0.500 0.000
P 0.500 0.500 0.500
S 0.000 0.000 0.500
S 0.000 0.500 0.000
S 0.500 0.000 0.000

final energy	-88.75	eV/f.u.
E_form (uncorrected)	-1586	meV/atom
total magnetization	0.000	Bohr magnetons per cell
calculated volume	28.028	A^3/atom

---

[10]
Sm4TePS2 | PBE | relaxed

Lattice parameters (Å, degrees): 7.119 4.111 7.317 90.00 108.99 90.00
Positions (direct):
Sm 0.228 0.000 0.217
Sm 0.247 0.500 0.771
Sm 0.753 0.500 0.229
Sm 0.772 0.000 0.783
Te 0.500 0.500 0.500
P 0.500 0.000 0.000
S 0.000 0.000 0.500
S 0.000 0.500 0.000

final energy	-49.77	eV/f.u.
E_form (uncorrected)	-1761	meV/atom
total magnetization	0.000	Bohr magnetons per cell
calculated volume	25.315	A^3/atom

---

[11]
Sm6TlP2S3 | PBE | relaxed

Lattice parameters (Å, degrees): 9.223 9.223 8.343 102.76 102.76 25.59
Positions (direct):
Sm 0.002 0.002 0.271
Sm 0.327 0.327 0.905
Sm 0.330 0.330 0.422
Sm 0.670 0.670 0.578
Sm 0.673 0.673 0.095
Sm 0.998 0.998 0.729
Tl 0.500 0.500 0.000
P 0.168 0.168 0.335
P 0.832 0.832 0.665
S 0.167 0.167 0.832
S 0.500 0.500 0.500
S 0.833 0.833 0.168

final energy	-72.81	eV/f.u.
E_form (uncorrected)	-1577	meV/atom
total magnetization	0.000	Bohr magnetons per cell
calculated volume	24.880	A^3/atom

---

[12]
SmZnPS | PBE | relaxed

Lattice parameters (Å, degrees): 13.483 13.483 13.483 17.52 17.52 17.52
Positions (direct):
Sm 0.090 0.090 0.090
Sm 0.910 0.910 0.910
Zn 0.310 0.310 0.310
Zn 0.690 0.690 0.690
P 0.374 0.374 0.374
P 0.626 0.626 0.626
S 0.212 0.212 0.212
S 0.788 0.788 0.788

final energy	-20.10	eV/f.u.
E_form (uncorrected)	-1141	meV/atom
total magnetization	0.000	Bohr magnetons per cell
calculated volume	24.238	A^3/atom